Material: CaHfPb3
Method: DFT, PBE
State: optimized geometry

a = 5.6301 Å, b = 5.6301 Å, c = 5.6301 Å
α = 90.00°, β = 90.00°, γ = 90.00°
Last column: nearest neighbours and their distance in Å.
Atoms (fractional coordinates):
Ca (0.0000, 0.0000, 0.0000)  12 Pb 3.98
Hf (0.5000, 0.5000, 0.5000)  6 Pb 2.82
Pb (0.0000, 0.5000, 0.5000)  2 Hf 2.82
Pb (0.5000, 0.0000, 0.5000)  2 Hf 2.82
Pb (0.5000, 0.5000, 0.0000)  2 Hf 2.82

V	35.69	Å³ per atom
magnetic moment	0.00	μB per formula unit
DOS at the Fermi energy	2.0	states/eV/cell
ΔE to the lowest computed polymorph	0.0	meV per atom

Material: CaHf3Pb
Method: DFT, PBE
State: optimized geometry

a = 5.4337 Å, b = 5.4337 Å, c = 5.4337 Å
α = 90.00°, β = 90.00°, γ = 90.00°
Last column: nearest neighbours and their distance in Å.
Atoms (fractional coordinates):
Ca (0.0000, 0.0000, 0.0000)  12 Hf 3.84
Hf (0.0000, 0.5000, 0.5000)  2 Pb 2.72
Hf (0.5000, 0.0000, 0.5000)  2 Pb 2.72
Hf (0.5000, 0.5000, 0.0000)  2 Pb 2.72
Pb (0.5000, 0.5000, 0.5000)  6 Hf 2.72

V	32.09	Å³ per atom
magnetic moment	0.00	μB per formula unit
DOS at the Fermi energy	6.6	states/eV/cell
ΔE to the lowest computed polymorph	0.0	meV per atom

Material: CaHfRe2Pb
Method: DFT, PBE
State: optimized geometry

a = 4.7170 Å, b = 4.7170 Å, c = 5.1964 Å
α = 90.00°, β = 90.00°, γ = 90.00°
Last column: nearest neighbours and their distance in Å.
Atoms (fractional coordinates):
Ca (0.0000, 0.0000, 0.0000)  4 Re 2.36, 2 Pb 2.60
Hf (0.5000, 0.5000, 0.5000)  4 Pb 3.34, 8 Re 3.51
Re (0.0000, 0.5000, 0.0000)  2 Ca 2.36
Re (0.5000, 0.0000, 0.0000)  2 Ca 2.36
Pb (0.0000, 0.0000, 0.5000)  2 Ca 2.60

V	23.12	Å³ per atom
magnetic moment	1.21	μB per formula unit
DOS at the Fermi energy	6.1	states/eV/cell

Material: CaHfSnPb2
Method: DFT, PBE
State: optimized geometry

a = 7.4570 Å, b = 7.4570 Å, c = 7.9331 Å
α = 90.00°, β = 90.00°, γ = 90.00°
Last column: nearest neighbours and their distance in Å.
Atoms (fractional coordinates):
Ca (0.0000, 0.0000, 0.0000)  2 Hf 3.97
Hf (0.0000, 0.0000, 0.5000)  4 Pb 3.73, 2 Ca 3.97
Sn (0.5000, 0.5000, 0.0000)  4 Ca 5.27, 8 Pb 5.44
Pb (0.0000, 0.5000, 0.5000)  2 Hf 3.73
Pb (0.5000, 0.0000, 0.5000)  2 Hf 3.73

V	88.23	Å³ per atom
magnetic moment	0.37	μB per formula unit
DOS at the Fermi energy	5.4	states/eV/cell

Material: CaHfTa2Pb
Method: DFT, PBE
State: optimized geometry

a = 4.8257 Å, b = 4.8257 Å, c = 5.1408 Å
α = 90.00°, β = 90.00°, γ = 90.00°
Last column: nearest neighbours and their distance in Å.
Atoms (fractional coordinates):
Ca (0.0000, 0.0000, 0.0000)  4 Ta 2.41, 2 Hf 2.57
Hf (0.0000, 0.0000, 0.5000)  2 Ca 2.57
Ta (0.0000, 0.5000, 0.0000)  2 Ca 2.41
Ta (0.5000, 0.0000, 0.0000)  2 Ca 2.41
Pb (0.5000, 0.5000, 0.5000)  4 Hf 3.41, 8 Ta 3.53

V	23.94	Å³ per atom
magnetic moment	0.00	μB per formula unit
DOS at the Fermi energy	5.2	states/eV/cell

Material: CaHfPd6
Method: DFT, PBE
State: optimized geometry

a = 4.0688 Å, b = 4.0688 Å, c = 8.1500 Å
α = 90.00°, β = 90.00°, γ = 90.00°
Last column: nearest neighbours and their distance in Å.
Atoms (fractional coordinates):
Ca (0.0000, 0.0000, 0.0000)  12 Pd 2.88-2.96
Hf (0.0000, 0.0000, 0.5000)  12 Pd 2.80-2.88
Pd (0.0000, 0.5000, 0.2643)  8 Pd 2.80-2.96, 2 Hf 2.80, 2 Ca 2.96
Pd (0.0000, 0.5000, 0.7357)  8 Pd 2.80-2.96, 2 Hf 2.80, 2 Ca 2.96
Pd (0.5000, 0.0000, 0.2643)  8 Pd 2.80-2.96, 2 Hf 2.80, 2 Ca 2.96
Pd (0.5000, 0.0000, 0.7357)  8 Pd 2.80-2.96, 2 Hf 2.80, 2 Ca 2.96
Pd (0.5000, 0.5000, 0.0000)  4 Ca 2.88, 8 Pd 2.96
Pd (0.5000, 0.5000, 0.5000)  8 Pd 2.80, 4 Hf 2.88

V	16.87	Å³ per atom
magnetic moment	0.00	μB per formula unit
DOS at the Fermi energy	6.1	states/eV/cell

Across the entries above, theoretical density takes the values 7.82, 8.10, 11.46, 2.83, 10.93, 10.55 Mg/m³, respectively.
Across the entries above, formation energy takes the values 0.48, 5.56, 12.06, 9.71, 10.84, -5.67 eV per formula unit, respectively.